one) Entry from Alexandria via LeMat-Bulk: KCo2Rh after structural relaxation (GGA-PBEsol).

Calculated values
DOS at the Fermi energy	13.31	states/eV per cell

Cell: 6.171 6.171 6.171 Å, 90.00 90.00 90.00°
Space group F-43m (No. 216)
Symmetry-distinct sites (fractional):
K 0.000 0.000 0.000 [4 per cell]
Co 0.000 0.000 0.500 [4 per cell]
Co 0.250 0.250 0.250 [4 per cell]
Rh 0.250 0.250 0.750 [4 per cell]

two) Entry from Alexandria via LeMat-Bulk: KCo2Rh after structural relaxation (GGA-PBEsol).

Calculated values
DOS at the Fermi energy	14.77	states/eV per cell

Cell: 2.6726 2.6726 28.8513 Å, 90.00 90.00 120.00°
Space group R-3m (No. 166, hexagonal axes)
Symmetry-distinct sites (fractional):
K 0.0000 0.0000 0.0000 [3 per cell]
Co 0.0000 0.0000 0.2370 [6 per cell]
Rh 0.0000 0.0000 0.5000 [3 per cell]

Stability ranking, top and bottom: two) is the most stable and one) is the least stable.

one) Entry from Alexandria via LeMat-Bulk: KCoRu2 after structural relaxation (GGA-PBEsol).

Calculated values
DOS at the Fermi energy	5.51	states/eV per cell

Cell: 2.859 2.859 8.202 Å, 90.00 90.00 90.00°
Space group P4/mmm (No. 123)
Symmetry-distinct sites (fractional):
K 0.000 0.000 0.000 [1 per cell]
Co 0.000 0.000 0.500 [1 per cell]
Ru 0.500 0.500 0.336 [2 per cell]

two) Entry from Alexandria via LeMat-Bulk: KCoRu2 after structural relaxation (GGA-PBEsol).

Calculated values
DOS at the Fermi energy	11.29	states/eV per cell

Cell: 2.775 4.493 9.772 Å, 90.00 90.00 90.00°
Space group Cmmm (No. 65)
Symmetry-distinct sites (fractional):
K 0.000 0.000 0.000 [2 per cell]
Co 0.000 0.000 0.500 [2 per cell]
Ru 0.000 0.500 0.292 [4 per cell]

Stability ranking, top and bottom: one) is the most stable and two) is the least stable.